Entry 1:
PBE Ac2HoBePd6, optimized geometry; energy of formation from the pure elements = -61.6 kJ per mole of atoms
1.0
6.0642 -0.0035 -0.0007
0.0062 7.8014 -1.1881
3.0338 3.0305 4.2925
Be Pd Ho Ac
1 6 1 2
direct
0.5000 0.5000 0.0000
0.2167 0.6821 0.0498
0.7334 0.6822 0.0497
0.2666 0.3194 0.4668
0.7833 0.3179 0.9502
0.2666 0.3178 0.9503
0.7334 0.6806 0.5332
0.0000 0.0000 0.0000
0.2464 0.7381 0.5071
0.7536 0.2619 0.4929

Entry 2:
PBE AcHoBe2Si2, optimized geometry; energy relative to the elements, uncorrected = -0.54 eV/atom
1.0
-3.1998 -0.0676 -2.3295
0.7852 -3.0689 2.3738
-4.6596 3.6762 6.2939
Be Ac Si Ho
2 1 2 1
direct
0.3333 0.6667 0.7260
0.6667 0.3333 0.2740
0.0000 0.0000 0.0000
0.6667 0.3333 0.7243
0.3333 0.6667 0.2757
0.0000 0.0000 0.5000

Entry 3:
PBE AcBeI, optimized geometry; energy relative to the elements, uncorrected = -0.59 eV/atom
1.0
-0.4999 3.6231 -2.3645
1.1815 0.0451 -4.1916
-11.4207 -2.5535 -5.5092
Ac Be I
2 2 2
direct
0.4486 0.4486 0.6543
0.5514 0.5514 0.3457
0.8336 0.8336 0.4991
0.1664 0.1664 0.5009
0.7208 0.7208 0.8376
0.2792 0.2792 0.1624

Entry 4:
PBE AcBeI2, optimized geometry; energy relative to the elements, uncorrected = -0.10 eV/atom
1.0
-4.1875 -0.9097 0.4735
-1.3305 -4.1007 -0.0184
-0.4502 -2.1715 11.4739
Be Ac I
1 1 2
direct
0.0000 0.0000 0.0000
0.5000 0.5000 0.5000
0.8993 0.8993 0.3020
0.1007 0.1007 0.6980

Entry 5:
PBE AcBeIn, optimized geometry; energy of formation from the pure elements = -2.9 kJ per mole of atoms
1.0
-3.3844 -5.3039 0.9249
5.9197 -2.3151 0.1981
0.2221 1.2517 7.9904
Be In Ac
4 4 4
direct
0.4002 0.4002 0.3987
0.5998 0.5998 0.6013
0.9002 0.9002 0.1013
0.0998 0.0998 0.8987
0.1910 0.1910 0.1890
0.8090 0.8090 0.8110
0.6910 0.6910 0.3110
0.3090 0.3090 0.6890
0.8078 0.1922 0.5000
0.1922 0.8078 0.5000
0.6922 0.3078 0.0000
0.3078 0.6922 0.0000

Entry 6:
PBE Ac2BeIn, optimized geometry; energy of formation from the pure elements = -2.2 kJ per mole of atoms
1.0
-0.8526 -3.7195 -0.5636
0.6237 -0.7097 3.7398
-7.8863 1.5635 1.6119
In Ac Be
1 2 1
direct
0.5000 0.5000 0.5000
0.0000 0.0000 0.2202
0.0000 0.0000 0.7798
0.5000 0.5000 0.0000

Entry 7:
PBE AcBeIn, optimized geometry; energy of formation from the pure elements = 16.0 kJ per mole of atoms
1.0
3.5349 0.0000 0.0000
0.0000 3.5349 0.0000
-1.7674 -1.7674 6.0744
Ac In Be
1 1 1
direct
0.0131 0.0131 0.0262
0.2981 0.2981 0.5963
0.6888 0.6888 0.3775

Entry 8:
PBE Ac2BeIn, optimized geometry; energy of formation from the pure elements = 63.6 kJ per mole of atoms
1.0
3.8408 0.0000 0.0000
1.9204 3.3262 0.0000
1.9204 1.1087 11.6046
Be In Ac
1 1 2
direct
0.0000 0.0000 0.0000
0.5000 0.5000 0.5000
0.9091 0.9091 0.2726
0.0909 0.0909 0.7274

Entry 9:
PBE AcBeInO4, optimized geometry; energy relative to the elements, uncorrected = -2.43 eV/atom
1.0
-2.4597 -0.7200 4.4917
3.6795 -3.8771 1.3935
4.6688 4.7375 0.8530
O In Be Ac
8 2 2 2
direct
0.9798 0.0183 0.7201
0.4446 0.7500 0.5586
0.0202 0.5183 0.2799
0.9798 0.4817 0.7201
0.5554 0.2500 0.4414
0.5808 0.2500 0.8461
0.0202 0.9817 0.2799
0.4192 0.7500 0.1539
0.2003 0.2500 0.5459
0.7997 0.7500 0.4541
0.7578 0.2500 0.6763
0.2422 0.7500 0.3237
0.2874 0.2500 0.0832
0.7126 0.7500 0.9168

Entry 10:
PBE Ac3Be2InPd9, optimized geometry; energy of formation from the pure elements = -60.3 kJ per mole of atoms
1.0
6.9311 0.0000 0.0000
-3.4655 6.0025 0.0000
0.0000 0.0000 7.3802
Be Pd Ac In
2 9 3 1
direct
0.6667 0.3333 0.8751
0.3333 0.6667 0.1249
0.1902 0.8098 0.3146
0.6196 0.8098 0.3146
0.8098 0.1902 0.6854
0.8098 0.6196 0.6854
0.3804 0.1902 0.6854
0.5000 0.5000 0.0000
0.0000 0.5000 0.0000
0.1902 0.3804 0.3146
0.5000 0.0000 0.0000
0.3333 0.6667 0.6656
0.0000 0.0000 0.0000
0.6667 0.3333 0.3344
0.0000 0.0000 0.5000

Entry 11:
PBE AcBeIr3, optimized geometry; energy of formation from the pure elements = -23.8 kJ per mole of atoms
1.0
-3.3767 -2.1692 1.8535
1.8637 -3.8513 -1.1121
2.1604 -0.0681 3.8563
Ac Ir Be
1 3 1
direct
0.5000 0.5000 0.5000
0.5000 0.0000 0.0000
0.0000 0.5000 0.0000
0.0000 0.0000 0.5000
0.0000 0.0000 0.0000

Entry 12:
PBE Ac2Be4Ir5, optimized geometry; energy of formation from the pure elements = -58.0 kJ per mole of atoms
1.0
5.2482 0.0000 2.5052
2.6241 4.9619 1.2526
-0.0836 0.0000 6.9250
Ac Be Ir
2 4 5
direct
0.8627 0.0000 0.2747
0.1373 0.0000 0.7253
0.7948 0.6653 0.7451
0.2052 0.3347 0.2549
0.5399 0.6653 0.2549
0.4601 0.3347 0.7451
0.5000 0.0000 0.0000
0.7500 0.5000 0.5000
0.0000 0.5000 0.0000
0.5000 0.5000 0.0000
0.2500 0.5000 0.5000

Question: Which formula does entry 3 have?
Answer: AcBeI

Question: What is the formula in the seventh record?
Answer: AcBeIn

Question: What is the formula in the fourth record?
Answer: AcBeI2